Entry 1:
A geometry-optimized LiHgGe structure. Source: Alexandria via LeMat-Bulk, functional PBE-GGA.

Geometry as POSCAR:
```
LiHgGe
1.0
5.5964 0.0000 0.0000
0.0000 2.8946 0.0000
0.0000 0.0000 7.1177
Li Hg Ge
2 2 2
Direct
0.2500 0.0000 0.2219
0.7500 0.0000 0.7781
0.2500 0.5000 0.8723
0.7500 0.5000 0.1277
0.0000 0.5000 0.5000
0.5000 0.5000 0.5000
```

Values from the calculation:
DFT formation energy ... -0.150 eV/atom
Theoretical density ... 8.07 Mg/m³
Relative energy among the computed polymorphs ... 0.0007 eV/atom

---

Entry 2:
A geometry-optimized PaTiH3 structure. Source: Alexandria via LeMat-Bulk, functional PBE-GGA.

Geometry as POSCAR:
```
PaTiH3
1.0
6.3782 0.0000 0.0000
0.0000 5.2501 0.0000
-2.4552 0.0000 6.0718
Pa Ti H
4 4 12
Direct
0.1190 0.2161 0.1134
0.1190 0.2839 0.6134
0.8810 0.7161 0.3866
0.8810 0.7839 0.8866
0.3893 0.7427 0.3872
0.3893 0.7573 0.8872
0.6107 0.2427 0.1128
0.6107 0.2573 0.6128
0.1061 0.6157 0.2063
0.1061 0.8843 0.7063
0.3312 0.0832 0.4540
0.3312 0.4168 0.9540
0.4412 0.5530 0.6551
0.4412 0.9470 0.1551
0.5588 0.0530 0.8449
0.5588 0.4470 0.3449
0.6688 0.5832 0.0460
0.6688 0.9168 0.5460
0.8939 0.1157 0.2937
0.8939 0.3843 0.7937
```

Values from the calculation:
Theoretical density ... 9.21 Mg/m³
Relative energy among the computed polymorphs ... 0.0000 eV/atom